(1)
Compound: Pr2AsO
Source: Alexandria
Functional: PBE-GGA
Structure: relaxed

Cell lengths 5.9230, 5.9172, 12.3289 Å; angles 90.00, 116.63, 90.00 degrees
Closest atoms and distances in Å follow each position.
Space group P2/c (No. 13)
Unique sites:
Pr 0.1050 0.2171 0.1097  2 O 2.41-2.59
Pr 0.3208 0.2330 0.8600  2 O 2.40-2.64
As 0.3779 0.2642 0.3750  6 Pr 2.94-3.00
O 0.0636 0.1858 0.6229  4 Pr 2.40-2.64

Summary:
Energy above the most stable polymorph in this dataset = 21 meV per atom
Uncorrected energy = -6.741 eV per atom
DOS(E_F) = 0.348 states/eV per atom
Formation energy from raw total energies = -1949 meV per atom

***

(2)
Compound: Zn2SiTe
Source: Alexandria
Functional: PBE-GGA
Structure: relaxed

Cell lengths 4.7961, 5.0773, 7.3710 Å; angles 90.00, 90.00, 90.00 degrees
Closest atoms and distances in Å follow each position.
Space group Cmm2 (No. 35)
Unique sites:
Zn 0.0000 0.0000 0.0000  1 Si 2.52
Zn 0.0000 0.5000 0.2153  4 Si 2.57-2.70, 2 Zn 2.88
Si 0.0000 0.0000 0.3419  5 Zn 2.52-2.70
Te 0.0000 0.5000 0.7925  5 Zn 2.84-3.12

Summary:
Energy above the most stable polymorph in this dataset = 223 meV per atom
Uncorrected energy = -2.488 eV per atom
DOS(E_F) = 0.385 states/eV per atom
Formation energy from raw total energies = 291 meV per atom

***

(3)
Compound: TcRu2S2
Source: Alexandria
Functional: PBE-GGA
Structure: relaxed

Cell lengths 6.8203, 6.8203, 2.9179 Å; angles 90.00, 90.00, 90.00 degrees
Closest atoms and distances in Å follow each position.
Space group P4/mbm (No. 127)
Unique sites:
Tc 0.0000 0.0000 0.0000  4 S 2.57
Ru 0.1501 0.3499 0.5000  6 S 2.35-2.56
S 0.1590 0.6590 0.0000  6 Ru 2.35-2.56, 2 Tc 2.57

Summary:
Energy above the most stable polymorph in this dataset = 0 meV per atom
Uncorrected energy = -7.216 eV per atom
DOS(E_F) = 1.002 states/eV per atom
Formation energy from raw total energies = 219 meV per atom

***

(4)
Compound: LiMgZr2C
Source: Alexandria
Functional: PBE-GGA
Structure: relaxed

Cell lengths 5.0448, 5.0448, 4.1452 Å; angles 90.00, 90.00, 90.00 degrees
Closest atoms and distances in Å follow each position.
Space group P4/mmm (No. 123)
Unique sites:
Li 0.0000 0.0000 0.0000  2 Mg 2.07
Mg 0.0000 0.0000 0.5000  2 Li 2.07
Zr 0.0000 0.5000 0.5000  2 Mg 2.52
C 0.5000 0.5000 0.0000  8 Zr 3.26, 4 Li 3.57

Summary:
Energy relative to the elements = 2.023 eV/atom
Uncorrected energy = -3.942 eV per atom
DOS(E_F) = 1.063 states/eV per atom

***

(5)
Compound: BeVB2
Source: Alexandria
Functional: PBE-GGA
Structure: relaxed

Cell lengths 3.0514, 4.0895, 5.5941 Å; angles 90.00, 90.00, 90.00 degrees
Closest atoms and distances in Å follow each position.
Space group Amm2 (No. 38)
Unique sites:
Be 0.0000 0.0000 0.0000  3 B 1.90-1.96
V 0.5000 0.0000 0.6205  5 B 2.12-2.25
B 0.0000 0.0000 0.3389  2 B 1.67
B 0.5000 0.0000 0.2191  2 B 1.67

Summary:
Energy relative to the elements = -0.011 eV/atom
Uncorrected energy = -6.561 eV per atom
DOS(E_F) = 0.600 states/eV per atom

***

(6)
Compound: SrMoOs4
Source: Alexandria
Functional: PBE-GGA
Structure: relaxed

Cell lengths 7.4649, 7.4649, 7.4649 Å; angles 90.00, 90.00, 90.00 degrees
Closest atoms and distances in Å follow each position.
Space group F-43m (No. 216)
Unique sites:
Sr 0.0000 0.0000 0.0000  12 Os 3.09, 4 Mo 3.23
Mo 0.2500 0.2500 0.7500  12 Os 3.09, 4 Sr 3.23
Os 0.1250 0.1250 0.3750  6 Os 2.64

Summary:
Energy relative to the elements = 0.601 eV/atom
Uncorrected energy = -8.971 eV per atom
DOS(E_F) = 0.858 states/eV per atom

***

(7)
Compound: BaCdAgSb2
Source: Alexandria
Functional: PBE-GGA
Structure: relaxed

Cell lengths 4.6575, 4.6575, 13.6735 Å; angles 90.00, 90.00, 90.00 degrees
Closest atoms and distances in Å follow each position.
Space group I-4m2 (No. 119)
Unique sites:
Ba 0.0000 0.0000 0.0000  8 Sb 3.68
Cd 0.0000 0.5000 0.2500  4 Sb 2.93
Ag 0.0000 0.5000 0.7500  4 Sb 2.93
Sb 0.0000 0.0000 0.3805  2 Cd 2.93, 2 Ag 2.93, 1 Sb 3.27

Summary:
Uncorrected energy = -3.255 eV per atom
DOS(E_F) = 0.390 states/eV per atom
Formation energy from raw total energies = -468 meV per atom

***

(8)
Compound: Pr2ScAl4Pd3
Source: Alexandria
Functional: PBE-GGA
Structure: relaxed

Cell lengths 4.2685, 4.2685, 11.3778 Å; angles 90.00, 90.00, 90.00 degrees
Closest atoms and distances in Å follow each position.
Space group P-4m2 (No. 115)
Unique sites:
Pr 0.0000 0.5000 0.2361  8 Al 3.25-3.43, 4 Pd 3.28
Sc 0.0000 0.0000 0.5000  4 Al 2.79, 4 Pd 3.02
Al 0.0000 0.0000 0.0000  4 Pd 2.55
Al 0.0000 0.5000 0.6578  3 Pd 2.50-2.79, 2 Sc 2.79
Al 0.5000 0.5000 0.0000  4 Pd 2.55
Pd 0.0000 0.5000 0.8778  5 Al 2.50-2.55
Pd 0.5000 0.5000 0.5000  4 Al 2.79, 4 Sc 3.02

Summary:
Energy relative to the elements = -0.707 eV/atom
Uncorrected energy = -5.351 eV per atom
DOS(E_F) = 1.015 states/eV per atom